The following is a PBE calculation of crystalline Ba2SbAsRh6 at its relaxed geometry, from Alexandria.

Summary:
SG: No. 71
Volume in Å³ per cell: 227.4
E_tot in eV/atom: -5.74
Energy relative to the elements, uncorrected in eV per atom: -0.070

Structure (CIF):
```
data_Ba2SbAsRh6
_chemical_formula_sum 'Ba2 Sb1 As1 Rh6'
_space_group_name_H-M_alt 'P 1'
_space_group_IT_number 1
_cell_length_a 6.850
_cell_length_b 6.853
_cell_length_c 6.860
_cell_angle_alpha 59.95
_cell_angle_beta 59.96
_cell_angle_gamma 90.01
loop_
_space_group_symop_operation_xyz
'x,y,z'
loop_
_atom_site_label
_atom_site_fract_x
_atom_site_fract_y
_atom_site_fract_z
Ba1 0.750 0.250 0.500
Ba2 0.250 0.750 0.500
Sb1 0.000 0.000 0.000
As1 0.500 0.500 0.000
Rh1 0.260 0.260 0.480
Rh2 0.740 0.740 0.000
Rh3 0.260 0.740 0.000
Rh4 0.740 0.260 0.000
Rh5 0.260 0.260 0.000
Rh6 0.740 0.740 0.520
```